# Ni3GeH, optimized geometry, DFT GGA-PBE
# **Relative energy among the computed polymorphs**: 7.66 kJ/mol of atoms
# **Space-group type**: No. 11
# **Magnetic moment**: 0.00 μB per cell
# **DOS at the Fermi energy**: 5.63 states/eV per cell
data_Ni3GeH
_chemical_formula_sum 'Ni6 Ge2 H2'
_cell_length_a 4.3344
_cell_length_b 5.0221
_cell_length_c 4.5418
_cell_angle_alpha 90.00
_cell_angle_beta 96.43
_cell_angle_gamma 90.00
_symmetry_space_group_name_H-M 'P 1'
_symmetry_Int_Tables_number 1
_symmetry_space_group_name_Hall 'P 1'
loop_
_atom_site_label
_atom_site_type_symbol
_atom_site_fract_x
_atom_site_fract_y
_atom_site_fract_z
_atom_site_occupancy
Ni1 Ni 0.2028 0.2500 0.1421 1
Ni2 Ni 0.2694 0.5054 0.6528 1
Ni3 Ni 0.2694 0.9946 0.6528 1
Ni4 Ni 0.7306 0.0054 0.3472 1
Ni5 Ni 0.7306 0.4946 0.3472 1
Ni6 Ni 0.7972 0.7500 0.8579 1
Ge1 Ge 0.2921 0.7500 0.1451 1
Ge2 Ge 0.7079 0.2500 0.8549 1
H1 H 0.0500 0.2500 0.4618 1
H2 H 0.9500 0.7500 0.5382 1



# Ni9Ge2H, optimized geometry, DFT GGA-PBE
# **DFT total energy**: -64.82 eV for the cell shown
# **Space-group type**: No. 123
# **Magnetic moment**: 2.51 μB per cell
# **DOS at the Fermi energy**: 13.36 states/eV per cell
data_Ni9Ge2H
_chemical_formula_sum 'Ni9 Ge2 H1'
_cell_length_a 3.5804
_cell_length_b 3.5804
_cell_length_c 10.1480
_cell_angle_alpha 90.00
_cell_angle_beta 90.00
_cell_angle_gamma 90.00
_symmetry_space_group_name_H-M 'P 1'
_symmetry_Int_Tables_number 1
_symmetry_space_group_name_Hall 'P 1'
loop_
_atom_site_label
_atom_site_type_symbol
_atom_site_fract_x
_atom_site_fract_y
_atom_site_fract_z
_atom_site_occupancy
Ni1 Ni 0.0000 0.0000 0.0000 1
Ni2 Ni 0.0000 0.0000 0.3262 1
Ni3 Ni 0.0000 0.0000 0.6738 1
Ni4 Ni 0.0000 0.5000 0.1489 1
Ni5 Ni 0.0000 0.5000 0.5000 1
Ni6 Ni 0.0000 0.5000 0.8511 1
Ni7 Ni 0.5000 0.0000 0.1489 1
Ni8 Ni 0.5000 0.0000 0.5000 1
Ni9 Ni 0.5000 0.0000 0.8511 1
Ge1 Ge 0.5000 0.5000 0.3202 1
Ge2 Ge 0.5000 0.5000 0.6798 1
H1 H 0.5000 0.5000 0.0000 1



# Ni3GeH, optimized geometry, DFT GGA-PBE
# **Relative energy among the computed polymorphs**: 0.00 kJ/mol of atoms
# **Space-group type**: No. 221
# **Magnetic moment**: 0.00 μB per cell
# **DOS at the Fermi energy**: 4.17 states/eV per cell
data_Ni3GeH
_chemical_formula_sum 'Ni3 Ge1 H1'
_cell_length_a 3.6356
_cell_length_b 3.6356
_cell_length_c 3.6356
_cell_angle_alpha 90.00
_cell_angle_beta 90.00
_cell_angle_gamma 90.00
_symmetry_space_group_name_H-M 'P 1'
_symmetry_Int_Tables_number 1
_symmetry_space_group_name_Hall 'P 1'
loop_
_atom_site_label
_atom_site_type_symbol
_atom_site_fract_x
_atom_site_fract_y
_atom_site_fract_z
_atom_site_occupancy
Ni1 Ni 0.0000 0.0000 0.5000 1
Ni2 Ni 0.0000 0.5000 0.0000 1
Ni3 Ni 0.5000 0.0000 0.0000 1
Ge1 Ge 0.5000 0.5000 0.5000 1
H1 H 0.0000 0.0000 0.0000 1



# Ni3GeH, optimized geometry, DFT GGA-PBE
# **Relative energy among the computed polymorphs**: 15.85 kJ/mol of atoms
# **Space-group type**: No. 14
# **Magnetic moment**: 0.00 μB per cell
# **DOS at the Fermi energy**: 5.19 states/eV per cell
data_Ni3GeH
_chemical_formula_sum 'Ni12 Ge4 H4'
_cell_length_a 6.0166
_cell_length_b 4.7395
_cell_length_c 7.9102
_cell_angle_alpha 90.00
_cell_angle_beta 108.63
_cell_angle_gamma 90.00
_symmetry_space_group_name_H-M 'P 1'
_symmetry_Int_Tables_number 1
_symmetry_space_group_name_Hall 'P 1'
loop_
_atom_site_label
_atom_site_type_symbol
_atom_site_fract_x
_atom_site_fract_y
_atom_site_fract_z
_atom_site_occupancy
Ni1 Ni 0.0592 0.0599 0.2724 1
Ni2 Ni 0.0592 0.4401 0.7724 1
Ni3 Ni 0.1778 0.7299 0.5491 1
Ni4 Ni 0.1778 0.7701 0.0491 1
Ni5 Ni 0.3868 0.5035 0.3410 1
Ni6 Ni 0.3868 0.9965 0.8410 1
Ni7 Ni 0.6132 0.0035 0.1590 1
Ni8 Ni 0.6132 0.4965 0.6590 1
Ni9 Ni 0.8222 0.2299 0.9509 1
Ni10 Ni 0.8222 0.2701 0.4509 1
Ni11 Ni 0.9408 0.5599 0.2276 1
Ni12 Ni 0.9408 0.9401 0.7276 1
Ge1 Ge 0.2424 0.2321 0.5684 1
Ge2 Ge 0.2424 0.2679 0.0684 1
Ge3 Ge 0.7576 0.7321 0.9316 1
Ge4 Ge 0.7576 0.7679 0.4316 1
H1 H 0.4299 0.7361 0.5162 1
H2 H 0.4299 0.7639 0.0162 1
H3 H 0.5701 0.2361 0.9838 1
H4 H 0.5701 0.2639 0.4838 1



# Ni4GeH, optimized geometry, DFT GGA-PBE
# **Relative energy among the computed polymorphs**: 0.85 kJ/mol of atoms
# **Space-group type**: No. 15
# **Magnetic moment**: 0.00 μB per cell
# **DOS at the Fermi energy**: 8.65 states/eV per cell
data_Ni4GeH
_chemical_formula_sum 'Ni8 Ge2 H2'
_cell_length_a 5.3830
_cell_length_b 5.3830
_cell_length_c 4.4576
_cell_angle_alpha 100.02
_cell_angle_beta 100.02
_cell_angle_gamma 104.76
_symmetry_space_group_name_H-M 'P 1'
_symmetry_Int_Tables_number 1
_symmetry_space_group_name_Hall 'P 1'
loop_
_atom_site_label
_atom_site_type_symbol
_atom_site_fract_x
_atom_site_fract_y
_atom_site_fract_z
_atom_site_occupancy
Ni1 Ni 0.0363 0.7620 0.9509 1
Ni2 Ni 0.1873 0.4207 0.6327 1
Ni3 Ni 0.2380 0.9637 0.5491 1
Ni4 Ni 0.4207 0.1873 0.1327 1
Ni5 Ni 0.5793 0.8127 0.8673 1
Ni6 Ni 0.7620 0.0363 0.4509 1
Ni7 Ni 0.8127 0.5793 0.3673 1
Ni8 Ni 0.9637 0.2380 0.0491 1
Ge1 Ge 0.3685 0.6315 0.2500 1
Ge2 Ge 0.6315 0.3685 0.7500 1
H1 H 0.0051 0.9949 0.2500 1
H2 H 0.9949 0.0051 0.7500 1



# NiGeH, optimized geometry, DFT GGA-PBE
# **Relative energy among the computed polymorphs**: 18.74 kJ/mol of atoms
# **Space-group type**: No. 107
# **Magnetic moment**: 0.00 μB per cell
# **DOS at the Fermi energy**: 1.60 states/eV per cell
data_NiGeH
_chemical_formula_sum 'Ni1 Ge1 H1'
_cell_length_a 4.1518
_cell_length_b 4.1518
_cell_length_c 4.1518
_cell_angle_alpha 135.97
_cell_angle_beta 135.97
_cell_angle_gamma 64.02
_symmetry_space_group_name_H-M 'P 1'
_symmetry_Int_Tables_number 1
_symmetry_space_group_name_Hall 'P 1'
loop_
_atom_site_label
_atom_site_type_symbol
_atom_site_fract_x
_atom_site_fract_y
_atom_site_fract_z
_atom_site_occupancy
Ni1 Ni 0.0000 0.0000 0.0000 1
Ge1 Ge 0.3418 0.3418 0.0000 1
H1 H 0.7844 0.7844 0.0000 1



# Ni3GeH, optimized geometry, DFT GGA-PBE
# **Relative energy among the computed polymorphs**: 44.89 kJ/mol of atoms
# **Space-group type**: No. 38
# **Magnetic moment**: 0.00 μB per cell
# **DOS at the Fermi energy**: 2.91 states/eV per cell
data_Ni3GeH
_chemical_formula_sum 'Ni3 Ge1 H1'
_cell_length_a 2.5435
_cell_length_b 6.1327
_cell_length_c 6.1327
_cell_angle_alpha 46.86
_cell_angle_beta 90.00
_cell_angle_gamma 90.00
_symmetry_space_group_name_H-M 'P 1'
_symmetry_Int_Tables_number 1
_symmetry_space_group_name_Hall 'P 1'
loop_
_atom_site_label
_atom_site_type_symbol
_atom_site_fract_x
_atom_site_fract_y
_atom_site_fract_z
_atom_site_occupancy
Ni1 Ni 0.0000 0.0000 0.0000 1
Ni2 Ni 0.5000 0.1052 0.5919 1
Ni3 Ni 0.5000 0.5919 0.1052 1
Ge1 Ge 0.5000 0.1711 0.1711 1
H1 H 0.0000 0.8332 0.8332 1



# Ni7Ge2H2, optimized geometry, DFT GGA-PBE
# **DFT total energy**: -56.98 eV for the cell shown
# **Space-group type**: No. 12
# **Magnetic moment**: 0.00 μB per cell
# **DOS at the Fermi energy**: 8.68 states/eV per cell
data_Ni7Ge2H2
_chemical_formula_sum 'Ni7 Ge2 H2'
_cell_length_a 5.1515
_cell_length_b 5.1515
_cell_length_c 4.4123
_cell_angle_alpha 94.25
_cell_angle_beta 94.25
_cell_angle_gamma 83.90
_symmetry_space_group_name_H-M 'P 1'
_symmetry_Int_Tables_number 1
_symmetry_space_group_name_Hall 'P 1'
loop_
_atom_site_label
_atom_site_type_symbol
_atom_site_fract_x
_atom_site_fract_y
_atom_site_fract_z
_atom_site_occupancy
Ni1 Ni 0.0000 0.0000 0.0000 1
Ni2 Ni 0.1070 0.4634 0.7669 1
Ni3 Ni 0.4089 0.4089 0.2486 1
Ni4 Ni 0.4634 0.1070 0.7669 1
Ni5 Ni 0.5366 0.8930 0.2331 1
Ni6 Ni 0.5911 0.5911 0.7514 1
Ni7 Ni 0.8930 0.5366 0.2331 1
Ge1 Ge 0.1933 0.8067 0.5000 1
Ge2 Ge 0.8067 0.1933 0.5000 1
H1 H 0.2263 0.2263 0.0181 1
H2 H 0.7737 0.7737 0.9819 1



# Ni3GeH, optimized geometry, DFT GGA-PBE
# **Relative energy among the computed polymorphs**: 18.22 kJ/mol of atoms
# **Space-group type**: No. 62
# **Magnetic moment**: 0.00 μB per cell
# **DOS at the Fermi energy**: 11.29 states/eV per cell
data_Ni3GeH
_chemical_formula_sum 'Ni12 Ge4 H4'
_cell_length_a 4.6194
_cell_length_b 6.7692
_cell_length_c 6.7616
_cell_angle_alpha 90.00
_cell_angle_beta 90.00
_cell_angle_gamma 90.00
_symmetry_space_group_name_H-M 'P 1'
_symmetry_Int_Tables_number 1
_symmetry_space_group_name_Hall 'P 1'
loop_
_atom_site_label
_atom_site_type_symbol
_atom_site_fract_x
_atom_site_fract_y
_atom_site_fract_z
_atom_site_occupancy
Ni1 Ni 0.0527 0.0704 0.1641 1
Ni2 Ni 0.0527 0.4296 0.1641 1
Ni3 Ni 0.2265 0.2500 0.8274 1
Ni4 Ni 0.2735 0.7500 0.3274 1
Ni5 Ni 0.4473 0.5704 0.6641 1
Ni6 Ni 0.4473 0.9296 0.6641 1
Ni7 Ni 0.5527 0.0704 0.3359 1
Ni8 Ni 0.5527 0.4296 0.3359 1
Ni9 Ni 0.7265 0.2500 0.6726 1
Ni10 Ni 0.7735 0.7500 0.1726 1
Ni11 Ni 0.9473 0.5704 0.8359 1
Ni12 Ni 0.9473 0.9296 0.8359 1
Ge1 Ge 0.0000 0.0000 0.5000 1
Ge2 Ge 0.0000 0.5000 0.5000 1
Ge3 Ge 0.5000 0.0000 0.0000 1
Ge4 Ge 0.5000 0.5000 0.0000 1
H1 H 0.0293 0.7500 0.0018 1
H2 H 0.4707 0.2500 0.5018 1
H3 H 0.5293 0.7500 0.4982 1
H4 H 0.9707 0.2500 0.9982 1



# Ni3GeH, optimized geometry, DFT GGA-PBE
# **Relative energy among the computed polymorphs**: 27.18 kJ/mol of atoms
# **Space-group type**: No. 119
# **Magnetic moment**: 0.00 μB per cell
# **DOS at the Fermi energy**: 6.53 states/eV per cell
data_Ni3GeH
_chemical_formula_sum 'Ni6 Ge2 H2'
_cell_length_a 5.7873
_cell_length_b 5.7873
_cell_length_c 5.7873
_cell_angle_alpha 131.81
_cell_angle_beta 131.81
_cell_angle_gamma 70.52
_symmetry_space_group_name_H-M 'P 1'
_symmetry_Int_Tables_number 1
_symmetry_space_group_name_Hall 'P 1'
loop_
_atom_site_label
_atom_site_type_symbol
_atom_site_fract_x
_atom_site_fract_y
_atom_site_fract_z
_atom_site_occupancy
Ni1 Ni 0.1332 0.1332 0.0000 1
Ni2 Ni 0.3734 0.1242 0.7508 1
Ni3 Ni 0.3734 0.6226 0.2492 1
Ni4 Ni 0.3774 0.6266 0.7508 1
Ni5 Ni 0.8668 0.8668 0.0000 1
Ni6 Ni 0.8758 0.6266 0.2492 1
Ge1 Ge 0.5990 0.0990 0.5000 1
Ge2 Ge 0.9010 0.4010 0.5000 1
H1 H 0.2500 0.7500 0.5000 1
H2 H 0.5000 0.5000 0.0000 1



# Ni2GeH, optimized geometry, DFT GGA-PBE
# **Relative energy among the computed polymorphs**: 10.69 kJ/mol of atoms
# **Space-group type**: No. 122
# **Magnetic moment**: 0.00 μB per cell
# **DOS at the Fermi energy**: 2.15 states/eV per cell
data_Ni2GeH
_chemical_formula_sum 'Ni4 Ge2 H2'
_cell_length_a 5.0161
_cell_length_b 5.0161
_cell_length_c 5.0161
_cell_angle_alpha 122.14
_cell_angle_beta 122.14
_cell_angle_gamma 86.33
_symmetry_space_group_name_H-M 'P 1'
_symmetry_Int_Tables_number 1
_symmetry_space_group_name_Hall 'P 1'
loop_
_atom_site_label
_atom_site_type_symbol
_atom_site_fract_x
_atom_site_fract_y
_atom_site_fract_z
_atom_site_occupancy
Ni1 Ni 0.3750 0.2444 0.3694 1
Ni2 Ni 0.7556 0.1250 0.1306 1
Ni3 Ni 0.8750 0.0056 0.6306 1
Ni4 Ni 0.9944 0.6250 0.8694 1
Ge1 Ge 0.2500 0.7500 0.5000 1
Ge2 Ge 0.5000 0.5000 0.0000 1
H1 H 0.0000 0.0000 0.0000 1
H2 H 0.7500 0.2500 0.5000 1



# Ni2GeH, optimized geometry, DFT GGA-PBE
# **Relative energy among the computed polymorphs**: 7.88 kJ/mol of atoms
# **Space-group type**: No. 166
# **Magnetic moment**: 0.00 μB per cell
# **DOS at the Fermi energy**: 2.14 states/eV per cell
data_Ni2GeH
_chemical_formula_sum 'Ni2 Ge1 H1'
_cell_length_a 6.0822
_cell_length_b 6.0822
_cell_length_c 6.0822
_cell_angle_alpha 26.43
_cell_angle_beta 26.43
_cell_angle_gamma 26.43
_symmetry_space_group_name_H-M 'P 1'
_symmetry_Int_Tables_number 1
_symmetry_space_group_name_Hall 'P 1'
loop_
_atom_site_label
_atom_site_type_symbol
_atom_site_fract_x
_atom_site_fract_y
_atom_site_fract_z
_atom_site_occupancy
Ni1 Ni 0.2262 0.2262 0.2262 1
Ni2 Ni 0.7738 0.7738 0.7738 1
Ge1 Ge 0.0000 0.0000 0.0000 1
H1 H 0.5000 0.5000 0.5000 1



Q: DOS at the Fermi energy of number 2 (Ni9Ge2H)?
A: 13.36 states/eV per cell



Q: The highest DOS at the Fermi energy belongs to which entry?
A: Ni9Ge2H